# KIrCl (PBE-GGA, optimized geometry)
# total energy = -3.379 eV/atom
# energy relative to the lowest polymorph listed for this composition = 3.43 eV/f.u.
# formation energy from raw total energies = 0.5564 eV/atom
# symmetry = P3m1, No. 156
data_KIrCl
_chemical_formula_sum 'K1 Ir1 Cl1'
_cell_length_a 3.210
_cell_length_b 3.210
_cell_length_c 7.183
_cell_angle_alpha 90.00
_cell_angle_beta 90.00
_cell_angle_gamma 120.00
_space_group_name_H-M_alt 'P 1'
_space_group_IT_number 1
_space_group_name_Hall 'P 1'
loop_
_atom_site_label
_atom_site_type_symbol
_atom_site_fract_x
_atom_site_fract_y
_atom_site_fract_z
_atom_site_occupancy
K1 K 0.000 0.000 0.000 1
Ir1 Ir 0.333 0.667 0.615 1
Cl1 Cl 0.667 0.333 0.333 1